# Nd5CoTe2 PBE relaxed
data_Nd5CoTe2
_symmetry_space_group_name_H-M 'P 1'
_symmetry_Int_Tables_number 1
_cell_length_a 6.0732
_cell_length_b 6.7577
_cell_length_c 14.7167
_cell_angle_alpha 90.00
_cell_angle_beta 90.00
_cell_angle_gamma 116.70
loop_
_symmetry_equiv_pos_as_xyz
'x,y,z'
loop_
_atom_site_label
_atom_site_type_symbol
_atom_site_fract_x
_atom_site_fract_y
_atom_site_fract_z
Nd1 Nd 0.0642 0.1283 0.1269
Nd2 Nd 0.9358 0.8717 0.6269
Te1 Te 0.8097 0.6194 0.4401
Nd3 Nd 0.6894 0.3789 0.2500
Nd4 Nd 0.9358 0.8717 0.8731
Nd5 Nd 0.3675 0.7349 0.1184
Nd6 Nd 0.0642 0.1283 0.3731
Te2 Te 0.1903 0.3806 0.5599
Co1 Co 0.2201 0.4402 0.2500
Nd7 Nd 0.6325 0.2651 0.8816
Te3 Te 0.8097 0.6194 0.0599
Nd8 Nd 0.6325 0.2651 0.6184
Nd9 Nd 0.3106 0.6211 0.7500
Co2 Co 0.7799 0.5598 0.7500
Te4 Te 0.1903 0.3806 0.9401
Nd10 Nd 0.3675 0.7349 0.3816
# M_tot, Bohr magnetons per cell: 0.00
# Formation energy (no corrections), eV per atom: -0.511
# SG: Cmcm (63)
# Energy relative to the lowest polymorph listed for this composition, eV per atom: 0.245
# Crystal system: orthorhombic
# E_tot, eV per atom: -5.164

=====

# NdThCo4 PBE relaxed
data_NdThCo4
_symmetry_space_group_name_H-M 'P 1'
_symmetry_Int_Tables_number 1
_cell_length_a 5.1159
_cell_length_b 5.1159
_cell_length_c 5.1159
_cell_angle_alpha 60.00
_cell_angle_beta 60.00
_cell_angle_gamma 60.00
loop_
_symmetry_equiv_pos_as_xyz
'x,y,z'
loop_
_atom_site_label
_atom_site_type_symbol
_atom_site_fract_x
_atom_site_fract_y
_atom_site_fract_z
Nd1 Nd 0.2500 0.2500 0.2500
Co1 Co 0.6251 0.1246 0.6251
Co2 Co 0.6251 0.6251 0.6251
Co3 Co 0.1246 0.6251 0.6251
Th1 Th 0.0000 0.0000 0.0000
Co4 Co 0.6251 0.6251 0.1246
# M_tot, Bohr magnetons per cell: 0.00
# SG: F-43m (216)
# Energy of formation from the pure elements, eV/atom: -0.107
# Energy relative to the lowest polymorph listed for this composition, eV per atom: 0.101
# Crystal system: cubic
# E_tot, eV per atom: -6.876

=====

# NdThCo4 PBE relaxed
data_NdThCo4
_symmetry_space_group_name_H-M 'P 1'
_symmetry_Int_Tables_number 1
_cell_length_a 4.0880
_cell_length_b 3.9471
_cell_length_c 6.7959
_cell_angle_alpha 90.00
_cell_angle_beta 90.00
_cell_angle_gamma 90.00
loop_
_symmetry_equiv_pos_as_xyz
'x,y,z'
loop_
_atom_site_label
_atom_site_type_symbol
_atom_site_fract_x
_atom_site_fract_y
_atom_site_fract_z
Co1 Co 0.4987 0.4973 0.6685
Co2 Co 0.4986 0.9973 0.1633
Nd1 Nd 0.9986 0.9973 0.4981
Th1 Th 0.9986 0.4973 0.9981
Co3 Co 0.4985 0.9973 0.8330
Co4 Co 0.4986 0.4973 0.3278
# M_tot, Bohr magnetons per cell: 1.90
# SG: Pmmm (47)
# Energy of formation from the pure elements, eV/atom: -0.208
# Energy relative to the lowest polymorph listed for this composition, eV per atom: 0.000
# Crystal system: orthorhombic
# E_tot, eV per atom: -6.977

=====

# NdTh2Co6 PBE relaxed
data_NdTh2Co6
_symmetry_space_group_name_H-M 'P 1'
_symmetry_Int_Tables_number 1
_cell_length_a 4.0348
_cell_length_b 6.8405
_cell_length_c 6.8405
_cell_angle_alpha 120.00
_cell_angle_beta 90.00
_cell_angle_gamma 90.00
loop_
_symmetry_equiv_pos_as_xyz
'x,y,z'
loop_
_atom_site_label
_atom_site_type_symbol
_atom_site_fract_x
_atom_site_fract_y
_atom_site_fract_z
Nd1 Nd 0.0000 0.0000 0.0000
Co1 Co 0.5000 0.3355 0.0000
Co2 Co 0.5000 0.0000 0.3355
Co3 Co 0.5000 0.0000 0.6645
Co4 Co 0.5000 0.6645 0.0000
Co5 Co 0.5000 0.6645 0.6645
Co6 Co 0.5000 0.3355 0.3355
Th1 Th 0.0000 0.3333 0.6667
Th2 Th 0.0000 0.6667 0.3333
# M_tot, Bohr magnetons per cell: 2.40
# SG: P6/mmm (191)
# Energy of formation from the pure elements, eV/atom: -0.175
# Crystal system: hexagonal
# E_tot, eV per atom: -7.091

=====

Which value of E_tot does entry 3 give?
-6.977 eV per atom

=====

Number 1 is which compound?
Nd5CoTe2

=====

Number 3 is which compound?
NdThCo4